Record 1
{"formula": "Te3PdN", "functional": "PBE-GGA", "state": "optimized geometry", "vol_a3_per_fu": 150, "crystal_system": "cubic", "e_tot_ev_per_cell": -16.4, "spacegroup": "No. 221", "lattice": [[5.314, 0.000, 0.000], [0.000, 5.314, 0.000], [0.000, 0.000, 5.314]], "species": ["Te", "Te", "Te", "Pd", "N"], "fractional_positions": [[0.000, 0.000, 0.500], [0.000, 0.500, 0.000], [0.500, 0.000, 0.000], [0.000, 0.000, 0.000], [0.500, 0.500, 0.500]]}

---

Record 2
{"formula": "BaScOs2", "functional": "PBE-GGA", "state": "optimized geometry", "vol_a3_per_fu": 80, "crystal_system": "orthorhombic", "formation_enthalpy_0k_ev_per_fu": 2.81, "spacegroup": "No. 65", "lattice": [[1.660, -2.524, 0.000], [1.660, 2.524, 0.000], [0.000, 0.000, 9.503]], "species": ["Ba", "Sc", "Os", "Os"], "fractional_positions": [[0.000, 0.000, 0.000], [0.000, 0.000, 0.500], [0.500, 0.500, 0.281], [0.500, 0.500, 0.719]]}

---

Record 3
{"formula": "Ca4Tl7Cd", "functional": "PBE-GGA", "state": "optimized geometry", "vol_a3_per_fu": 361, "crystal_system": "triclinic", "formation_enthalpy_0k_ev_per_fu": -2.87, "spacegroup": "No. 2", "lattice": [[5.573, 0.000, 0.000], [-0.015, 7.728, 0.000], [-0.101, -3.412, 8.387]], "species": ["Ca", "Ca", "Ca", "Ca", "Tl", "Tl", "Tl", "Tl", "Tl", "Tl", "Tl", "Cd"], "fractional_positions": [[0.248, 0.089, 0.193], [0.249, 0.597, 0.226], [0.751, 0.403, 0.774], [0.752, 0.911, 0.807], [0.245, 0.206, 0.868], [0.249, 0.426, 0.543], [0.256, 0.702, 0.890], [0.500, 0.000, 0.500], [0.744, 0.298, 0.110], [0.751, 0.574, 0.457], [0.755, 0.794, 0.132], [0.000, 0.000, 0.500]]}

---

Record 4
{"formula": "VFeRh", "functional": "PBE-GGA", "state": "optimized geometry", "vol_a3_per_fu": 39, "crystal_system": "hexagonal", "formation_enthalpy_0k_ev_per_fu": -0.34, "spacegroup": "No. 189", "lattice": [[7.133, 0.000, 0.000], [-3.566, 6.177, 0.000], [0.000, 0.000, 2.673]], "species": ["V", "V", "V", "Fe", "Fe", "Fe", "Rh", "Rh", "Rh"], "fractional_positions": [[0.000, 0.000, 0.000], [0.333, 0.667, 0.500], [0.667, 0.333, 0.500], [0.000, 0.360, 0.000], [0.360, 0.000, 0.000], [0.640, 0.640, 0.000], [0.000, 0.698, 0.500], [0.302, 0.302, 0.500], [0.698, 0.000, 0.500]]}

---

Record 5
{"formula": "DyGeBRh3", "functional": "PBE-GGA", "state": "optimized geometry", "vol_a3_per_fu": 99, "crystal_system": "orthorhombic", "formation_enthalpy_0k_ev_per_fu": -3.95, "spacegroup": "No. 63", "lattice": [[2.844, -6.046, 0.000], [2.844, 6.046, 0.000], [0.000, 0.000, 5.750]], "species": ["Dy", "Dy", "Ge", "Ge", "B", "B", "Rh", "Rh", "Rh", "Rh", "Rh", "Rh"], "fractional_positions": [[0.242, 0.758, 0.750], [0.758, 0.242, 0.250], [0.126, 0.874, 0.250], [0.874, 0.126, 0.750], [0.493, 0.507, 0.250], [0.507, 0.493, 0.750], [0.246, 0.246, 0.000], [0.246, 0.246, 0.500], [0.320, 0.680, 0.250], [0.680, 0.320, 0.750], [0.754, 0.754, 0.000], [0.754, 0.754, 0.500]]}

---

Record 6
{"formula": "PmDy2NpSb4", "functional": "PBE-GGA", "state": "optimized geometry", "vol_a3_per_fu": 244, "crystal_system": "monoclinic", "e_tot_ev_per_cell": -50.6, "spacegroup": "No. 10", "lattice": [[7.643, 0.000, 0.000], [0.000, 4.415, 0.000], [-2.536, 0.000, 7.220]], "species": ["Pm", "Dy", "Dy", "Np", "Sb", "Sb", "Sb", "Sb"], "fractional_positions": [[0.000, 0.000, 0.000], [0.500, 0.000, 0.500], [0.500, 0.500, 0.000], [0.000, 0.500, 0.500], [0.253, 0.000, 0.748], [0.254, 0.500, 0.255], [0.746, 0.500, 0.745], [0.747, 0.000, 0.252]]}